VASP calculation (GGA-PBE) on crystalline BaLa2 at its relaxed geometry.

Lattice parameters (Å, degrees): 6.2205 6.2205 3.8043 90.00 90.00 120.00
With the nearest neighbours (Å) after each atom.
Space group P6/mmm (No. 191)
Inequivalent atoms, fractional coordinates:
Ba (0.0000, 0.0000, 0.0000) x1  2 Ba 3.80, 12 La 4.06
La (0.3333, 0.6667, 0.5000) x2  5 La 3.59-3.80

- E above lowest polymorph (meV per atom) = 131
- DFT formation energy (eV/atom) = 0.23
- Fermi-level density of states (states/eV/cell) = 5.64